First-principles (PBE) data for a geometry-optimized Y2CdCoPb structure, as listed in Alexandria.

Cell lengths 5.178, 5.178, 4.925 Å; angles 90.00, 90.00, 90.00 degrees
Element x y z (fractional)
Pb 0.000 0.000 0.500
Y 0.000 0.500 0.000
Y 0.500 0.000 0.000
Co 0.000 0.000 0.000
Cd 0.500 0.500 0.500

Results
As for the offset from the most stable computed form: 15 meV per atom. As for the formation energy: -0.137 eV per atom.

---

First-principles (PBE) data for a geometry-optimized Zn2CdCoPb structure, as listed in Alexandria.

Cell lengths 4.902, 5.827, 4.902 Å; angles 90.00, 90.00, 90.00 degrees
Site moments in Bohr magnetons follow the coordinates.
Element x y z (fractional)
Pb 0.000 0.500 0.000  -0.03
Zn 0.000 0.000 0.500  0.01
Zn 0.500 0.000 0.000  0.01
Co 0.500 0.500 0.500  2.14
Cd 0.000 0.000 0.000  0.02

Results
As for the formation energy: 1.067 eV per atom.

---

First-principles (PBE) data for a geometry-optimized CdCoPd6 structure, as listed in Alexandria.

Cell lengths 3.947, 3.947, 7.917 Å; angles 90.00, 90.00, 90.00 degrees
Site moments in Bohr magnetons follow the coordinates.
Element x y z (fractional)
Cd 0.000 0.000 0.000  -0.01
Co 0.000 0.000 0.500  2.09
Pd 0.500 0.500 0.000  0.10
Pd 0.500 0.500 0.500  0.28
Pd 0.500 0.000 0.264  0.22
Pd 0.500 0.000 0.736  0.22
Pd 0.000 0.500 0.264  0.22
Pd 0.000 0.500 0.736  0.22

Results
As for the formation energy: -0.088 eV per atom.

---

First-principles (PBE) data for a geometry-optimized CdCoPd4 structure, as listed in Alexandria.

Cell lengths 2.846, 2.846, 11.372 Å; angles 90.00, 90.00, 90.00 degrees
Site moments in Bohr magnetons follow the coordinates.
Element x y z (fractional)
Cd 0.000 0.000 0.000  0.00
Co 0.500 0.500 0.500  2.08
Pd 0.500 0.500 0.179  0.04
Pd 0.000 0.000 0.647  0.26
Pd 0.000 0.000 0.353  0.26
Pd 0.500 0.500 0.821  0.04

Results
As for the formation energy: -0.105 eV per atom.

---

First-principles (PBE) data for a geometry-optimized Cd2Co2Pd structure, as listed in Alexandria.

Cell lengths 6.352, 6.352, 4.050 Å; angles 90.00, 90.00, 90.00 degrees
Site moments in Bohr magnetons follow the coordinates.
Element x y z (fractional)
Co 0.380 0.880 0.000  1.42
Co 0.880 0.620 0.000  1.34
Co 0.620 0.120 0.000  1.42
Co 0.120 0.380 0.000  1.34
Pd 0.000 0.000 0.000  0.15
Pd 0.500 0.500 0.000  0.15
Cd 0.180 0.680 0.500  -0.04
Cd 0.680 0.820 0.500  -0.04
Cd 0.820 0.320 0.500  -0.04
Cd 0.320 0.180 0.500  -0.04

Results
As for the formation energy: 0.230 eV per atom.

---

First-principles (PBE) data for a geometry-optimized Cd5Co3Pd12 structure, as listed in Alexandria.

Cell lengths 12.998, 12.998, 12.998 Å; angles 109.47, 109.47, 109.47 degrees
Site moments in Bohr magnetons follow the coordinates.
Element x y z (fractional)
Co 0.750 0.375 0.125  2.15
Co 0.875 0.750 0.125  2.15
Co 0.375 0.750 0.625  2.15
Co 0.250 0.125 0.375  2.15
Co 0.875 0.125 0.250  2.15
Co 0.375 0.625 0.250  2.15
Co 0.625 0.375 0.750  2.15
Co 0.125 0.875 0.750  2.15
Co 0.750 0.875 0.625  2.15
Co 0.625 0.250 0.375  2.15
Co 0.125 0.250 0.875  2.15
Co 0.250 0.625 0.875  2.15
Cd 0.125 0.375 0.250  -0.01
Cd 0.000 0.500 0.000  -0.01
Cd 0.000 0.000 0.000  -0.01
Cd 0.375 0.250 0.125  -0.01
Cd 0.500 0.000 0.500  -0.01
Cd 0.500 0.500 0.000  -0.01
Cd 0.125 0.750 0.375  -0.01
Cd 0.750 0.125 0.875  -0.01
Cd 0.750 0.625 0.375  -0.01
Cd 0.375 0.125 0.750  -0.01
Cd 0.625 0.875 0.250  -0.01
Cd 0.500 0.500 0.500  -0.01
Cd 0.500 0.000 0.000  -0.01
Cd 0.000 0.000 0.500  -0.01
Cd 0.250 0.375 0.625  -0.01
Cd 0.250 0.875 0.125  -0.01
Cd 0.000 0.500 0.500  -0.01
Cd 0.875 0.250 0.625  -0.01
Cd 0.625 0.750 0.875  -0.01
Cd 0.875 0.625 0.750  -0.01
Pd 0.738 0.139 0.079  0.14
Pd 0.341 0.579 0.440  0.14
Pd 0.921 0.361 0.262  0.14
Pd 0.579 0.238 0.139  0.14
Pd 0.599 0.738 0.659  0.14
Pd 0.921 0.560 0.159  0.14
Pd 0.341 0.762 0.401  0.14
Pd 0.060 0.901 0.139  0.14
Pd 0.560 0.921 0.659  0.14
Pd 0.738 0.599 0.159  0.14
Pd 0.762 0.421 0.361  0.14
Pd 0.841 0.940 0.079  0.14
Pd 0.139 0.738 0.579  0.14
Pd 0.361 0.440 0.099  0.14
Pd 0.099 0.940 0.361  0.14
Pd 0.401 0.139 0.560  0.14
Pd 0.099 0.159 0.238  0.14
Pd 0.421 0.659 0.060  0.14
Pd 0.841 0.901 0.262  0.14
Pd 0.139 0.401 0.060  0.14
Pd 0.361 0.921 0.762  0.14
Pd 0.560 0.639 0.401  0.14
Pd 0.940 0.841 0.579  0.14
Pd 0.762 0.341 0.901  0.14
Pd 0.440 0.361 0.599  0.14
Pd 0.060 0.159 0.421  0.14
Pd 0.238 0.659 0.099  0.14
Pd 0.159 0.099 0.738  0.14
Pd 0.639 0.079 0.238  0.14
Pd 0.861 0.599 0.940  0.14
Pd 0.579 0.341 0.940  0.14
Pd 0.599 0.861 0.440  0.14
Pd 0.901 0.841 0.762  0.14
Pd 0.901 0.060 0.639  0.14
Pd 0.861 0.262 0.421  0.14
Pd 0.159 0.060 0.921  0.14
Pd 0.639 0.560 0.901  0.14
Pd 0.440 0.079 0.341  0.14
Pd 0.262 0.401 0.841  0.14
Pd 0.238 0.579 0.639  0.14
Pd 0.940 0.099 0.861  0.14
Pd 0.659 0.238 0.599  0.14
Pd 0.421 0.762 0.861  0.14
Pd 0.079 0.440 0.841  0.14
Pd 0.401 0.262 0.341  0.14
Pd 0.079 0.639 0.738  0.14
Pd 0.659 0.421 0.560  0.14
Pd 0.262 0.861 0.921  0.14

Results
As for the formation energy: 0.439 eV per atom.

---

First-principles (PBE) data for a geometry-optimized CdCoPd3 structure, as listed in Alexandria.

Cell lengths 4.599, 4.599, 4.599 Å; angles 90.00, 90.00, 90.00 degrees
Site moments in Bohr magnetons follow the coordinates.
Element x y z (fractional)
Co 0.000 0.000 0.000  2.12
Pd 0.000 0.500 0.000  0.26
Pd 0.000 0.000 0.500  0.53
Pd 0.500 0.000 0.000  0.07
Cd 0.500 0.500 0.500  0.02

Results
As for the offset from the most stable computed form: 0 meV per atom. As for the formation energy: 0.537 eV per atom.

---

First-principles (PBE) data for a geometry-optimized CdCo2Pd structure, as listed in Alexandria.

Cell lengths 3.728, 3.728, 9.706 Å; angles 78.93, 78.93, 90.00 degrees
Site moments in Bohr magnetons follow the coordinates.
Element x y z (fractional)
Co 0.561 0.125 0.250  1.88
Co 0.189 0.625 0.250  1.91
Co 0.375 0.439 0.750  1.84
Co 0.875 0.811 0.750  1.86
Pd 0.500 0.500 0.000  0.14
Pd 0.250 0.750 0.500  0.14
Cd 0.000 0.000 0.000  -0.01
Cd 0.750 0.250 0.500  -0.01

Results
As for the formation energy: 0.481 eV per atom.

---

First-principles (PBE) data for a geometry-optimized Cd2CoPdPt structure, as listed in Alexandria.

Cell lengths 5.005, 4.971, 5.005 Å; angles 90.00, 90.00, 90.00 degrees
Site moments in Bohr magnetons follow the coordinates.
Element x y z (fractional)
Co 0.500 0.500 0.500  2.10
Pd 0.000 0.000 0.000  0.00
Pt 0.000 0.500 0.000  -0.02
Cd 0.000 0.000 0.500  -0.01
Cd 0.500 0.000 0.000  -0.01

Results
As for the formation energy: 1.012 eV per atom.

---

First-principles (PBE) data for a geometry-optimized CdCoPd2S structure, as listed in Alexandria.

Cell lengths 4.941, 4.765, 4.941 Å; angles 90.00, 90.00, 90.00 degrees
Site moments in Bohr magnetons follow the coordinates.
Element x y z (fractional)
S 0.500 0.500 0.500  0.10
Co 0.000 0.500 0.000  2.01
Pd 0.000 0.000 0.500  0.03
Pd 0.500 0.000 0.000  0.04
Cd 0.000 0.000 0.000  -0.02

Results
The value obtained for the raw formation energy is 1.337 eV/atom.

---

First-principles (PBE) data for a geometry-optimized ScCdCoPd structure, as listed in Alexandria.

Cell lengths 4.522, 4.522, 4.522 Å; angles 60.00, 60.00, 60.00 degrees
Element x y z (fractional)
Sc 0.250 0.250 0.250
Co 0.500 0.500 0.500
Pd 0.000 0.000 0.000
Cd 0.750 0.750 0.750

Results
As for the formation energy: -0.342 eV per atom.

---

First-principles (PBE) data for a geometry-optimized CdCoSnPd structure, as listed in Alexandria.

Cell lengths 4.551, 4.551, 4.551 Å; angles 60.00, 60.00, 60.00 degrees
Site moments in Bohr magnetons follow the coordinates.
Element x y z (fractional)
Co 0.000 0.000 0.000  0.89
Sn 0.250 0.250 0.250  -0.02
Pd 0.500 0.500 0.500  0.05
Cd 0.750 0.750 0.750  -0.01

Results
As for the formation energy: -0.085 eV per atom.

---

First-principles (PBE) data for a geometry-optimized CdCo2TcPd structure, as listed in Alexandria.

Cell lengths 4.571, 4.927, 4.571 Å; angles 90.00, 90.00, 90.00 degrees
Site moments in Bohr magnetons follow the coordinates.
Element x y z (fractional)
Co 0.000 0.000 0.500  2.26
Co 0.500 0.000 0.000  1.82
Tc 0.500 0.500 0.500  3.05
Pd 0.000 0.000 0.000  0.38
Cd 0.000 0.500 0.000  -0.03

Results
As for the formation energy: 1.529 eV per atom.

---

First-principles (PBE) data for a geometry-optimized Cd2CoTcPd structure, as listed in Alexandria.

Cell lengths 5.176, 4.698, 5.176 Å; angles 90.00, 90.00, 90.00 degrees
Site moments in Bohr magnetons follow the coordinates.
Element x y z (fractional)
Co 0.500 0.500 0.500  2.07
Tc 0.000 0.000 0.000  0.48
Pd 0.000 0.500 0.000  0.05
Cd 0.000 0.000 0.500  0.00
Cd 0.500 0.000 0.000  0.00

Results
As for the formation energy: 1.490 eV per atom.

---

First-principles (PBE) data for a geometry-optimized ThCdCoPd structure, as listed in Alexandria.

Cell lengths 4.814, 4.814, 4.814 Å; angles 60.00, 60.00, 60.00 degrees
Site moments in Bohr magnetons follow the coordinates.
Element x y z (fractional)
Co 0.000 0.000 0.000  0.42
Pd 0.500 0.500 0.500  0.03
Th 0.750 0.750 0.750  -0.04
Cd 0.250 0.250 0.250  0.00

Results
As for the formation energy: -0.275 eV per atom.

---

First-principles (PBE) data for a geometry-optimized TiCdCoPd structure, as listed in Alexandria.

Cell lengths 4.429, 4.429, 4.429 Å; angles 60.00, 60.00, 60.00 degrees
Site moments in Bohr magnetons follow the coordinates.
Element x y z (fractional)
Ti 0.250 0.250 0.250  -0.17
Co 0.500 0.500 0.500  0.99
Pd 0.000 0.000 0.000  0.09
Cd 0.750 0.750 0.750  -0.01

Results
As for the formation energy: -0.208 eV per atom.

---

First-principles (PBE) data for a geometry-optimized TmCdCoPd structure, as listed in Alexandria.

Cell lengths 4.636, 4.636, 4.636 Å; angles 60.00, 60.00, 60.00 degrees
Element x y z (fractional)
Tm 0.250 0.250 0.250
Co 0.000 0.000 0.000
Pd 0.500 0.500 0.500
Cd 0.750 0.750 0.750

Results
As for the formation energy: -0.329 eV per atom.

---

First-principles (PBE) data for a geometry-optimized ZrCdCoPd structure, as listed in Alexandria.

Cell lengths 4.566, 4.566, 4.566 Å; angles 60.00, 60.00, 60.00 degrees
Site moments in Bohr magnetons follow the coordinates.
Element x y z (fractional)
Co 0.500 0.500 0.500  0.86
Zr 0.250 0.250 0.250  -0.09
Pd 0.000 0.000 0.000  0.07
Cd 0.750 0.750 0.750  -0.01

Results
As for the formation energy: -0.288 eV per atom.

---

First-principles (PBE) data for a geometry-optimized Pm3Cd2Co structure, as listed in Alexandria.

Cell lengths 5.282, 7.197, 8.757 Å; angles 89.98, 107.55, 90.00 degrees
Element x y z (fractional)
Pm 0.500 0.250 0.000
Pm 0.500 0.750 0.000
Pm 0.129 0.000 0.257
Pm 0.871 0.500 0.743
Pm 0.129 0.500 0.257
Pm 0.871 0.000 0.743
Cd 0.700 0.750 0.399
Cd 0.700 0.250 0.399
Cd 0.300 0.750 0.601
Cd 0.300 0.250 0.601
Co 0.001 0.750 0.000
Co 0.999 0.250 0.000

Results
As for the formation energy: -0.190 eV per atom.

---

First-principles (PBE) data for a geometry-optimized Pm3CdCo2 structure, as listed in Alexandria.

Cell lengths 3.827, 7.360, 10.711 Å; angles 90.00, 90.00, 90.00 degrees
Site moments in Bohr magnetons follow the coordinates.
Element x y z (fractional)
Pm 0.500 0.215 0.170  -0.06
Pm 0.500 0.209 0.777  -0.07
Pm 0.000 0.317 0.462  -0.08
Pm 0.500 0.715 0.830  -0.06
Pm 0.500 0.709 0.223  -0.07
Pm 0.000 0.817 0.538  -0.08
Cd 0.000 0.953 0.016  -0.01
Cd 0.000 0.453 0.984  -0.01
Co 0.000 0.982 0.284  0.39
Co 0.500 0.025 0.396  0.50
Co 0.000 0.482 0.716  0.39
Co 0.500 0.525 0.604  0.50

Results
As for the offset from the most stable computed form: 0 meV per atom. As for the formation energy: -0.125 eV per atom.

---

no.,D(E_F) (states/eV per atom),E (eV per cell)
1,0.83,-25.3
2,1.23,-8.9
3,1.49,-39.9
4,0.90,-29.4
5,1.05,-40.2
6,0.88,-317.7
7,0.93,-20.9
8,1.29,-36.8
9,0.85,-15.1
10,1.91,-15.8
11,0.50,-20.9
12,0.76,-17.6
13,1.37,-23.0
14,1.12,-17.0
15,0.84,-21.7
16,0.70,-21.9
17,0.45,-19.0
18,0.56,-22.9
19,0.88,-48.7
20,1.03,-60.3